# 1
Entry from the Alexandria database: a relaxed structure of GdLu2Ag (PBE).

Calculated values
Its symmetry is P4/mmm (123). The energy of formation is 0.03 eV/atom. The density of states at the Fermi level comes out at 1.702 states/eV per atom. The energy relative to the lowest polymorph listed for this composition is 164 meV/atom.

```
GdLu2Ag
1.0
5.272 0.000 0.000
0.000 5.272 0.000
0.000 0.000 3.785
Gd Lu Ag
1 2 1
direct
0.000 0.000 0.000
0.000 0.500 0.500
0.500 0.000 0.500
0.500 0.500 0.000
```



# 2
Entry from the Alexandria database: a relaxed structure of GdLuAg (PBE).

Calculated values
Its symmetry is I4mm (107). The energy of formation is -0.20 eV/atom. The density of states at the Fermi level comes out at 1.216 states/eV per atom. The energy relative to the lowest polymorph listed for this composition is 0 meV/atom.

```
GdLuAg
1.0
-1.787 1.787 6.183
1.787 -1.787 6.183
1.787 1.787 -6.183
Gd Lu Ag
1 1 1
direct
0.000 0.000 0.000
0.300 0.300 0.000
0.663 0.663 0.000
```



# 3
Entry from the Alexandria database: a relaxed structure of GdLu2Ag (PBE).

Calculated values
Its symmetry is Fm-3m (225). The energy of formation is 0.08 eV/atom. The density of states at the Fermi level comes out at 1.726 states/eV per atom. The energy relative to the lowest polymorph listed for this composition is 212 meV/atom.

```
GdLu2Ag
1.0
0.000 3.736 3.736
3.736 0.000 3.736
3.736 3.736 0.000
Gd Lu Ag
1 2 1
direct
0.000 0.000 0.000
0.250 0.250 0.250
0.750 0.750 0.750
0.500 0.500 0.500
```



# 4
Entry from the Alexandria database: a relaxed structure of Gd2LuAg (PBE).

Calculated values
Its symmetry is R-3m (166). The energy of formation is 0.24 eV/atom. The density of states at the Fermi level comes out at 1.337 states/eV per atom. The energy relative to the lowest polymorph listed for this composition is 360 meV/atom.

```
Gd2LuAg
1.0
1.704 0.984 11.634
-1.704 0.984 11.634
0.000 -1.968 11.634
Gd Lu Ag
2 1 1
direct
0.086 0.086 0.086
0.914 0.914 0.914
0.500 0.500 0.500
0.000 0.000 0.000
```



| no. | VASP energy (eV/atom) |
| --- | --- |
| 1 | -6.462 |
| 2 | -7.347 |
| 3 | -6.414 |
| 4 | -8.639 |